[1]
In2RuW after structural relaxation, computed with GGA-PBE.

Cell: 3.0809 4.3796 5.7396 Å, 90.00 105.50 90.00°
Atoms (fractional coordinates):
In 0.0000 0.0000 0.0000
In 0.3467 0.5000 0.6917
Ru 0.6142 0.5000 0.2346
W 0.7322 0.0000 0.4567

Summary:
As for the raw total energy: -26.2 eV for the cell shown. As for the crystal system: monoclinic. For the total magnetic moment, the calculation gives 0.000 μB/atom. The calculation puts the density at 11.4 g cm⁻³.

=====

[2]
SrAc6Pr8 after structural relaxation, computed with GGA-PBE.

Cell: 10.7118 10.7118 6.3706 Å, 90.00 90.00 120.00°
Atoms (fractional coordinates):
Sr 0.0000 0.0000 0.0000
Ac 0.1483 0.4428 0.9947
Ac 0.2945 0.8517 0.9947
Ac 0.4428 0.2945 0.0053
Ac 0.5572 0.7055 0.9947
Ac 0.7055 0.1483 0.0053
Ac 0.8517 0.5572 0.0053
Pr 0.0263 0.6871 0.5062
Pr 0.3129 0.3392 0.5062
Pr 0.3333 0.6667 0.4936
Pr 0.3392 0.0263 0.4938
Pr 0.6608 0.9737 0.5062
Pr 0.6667 0.3333 0.5064
Pr 0.6871 0.6608 0.4938
Pr 0.9737 0.3129 0.4938

Summary:
As for the raw total energy: -61.8 eV for the cell shown. As for the crystal system: trigonal. For the total magnetic moment, the calculation gives 0.000 μB/atom. The calculation puts the density at 6.8 g cm⁻³.